# 1
{
  "formula": "Rb2Nb2Ga",
  "functional": "PBE-GGA",
  "state": "relaxed",
  "cell": [[-3.231, -1.661, -0.706], [-0.174, -1.154, 3.512], [-7.905, 9.295, 4.614]],
  "species": ["Rb", "Nb", "Ga", "Rb", "Nb"],
  "frac_coords": [[0.609, 0.609, 0.781], [0.750, 0.250, 0.500], [0.000, 0.000, 0.000], [0.391, 0.391, 0.219], [0.250, 0.750, 0.500]],
  "formation_enthalpy_0k_ev_per_atom": 0.828,
  "e_above_lowest_polymorph_ev_per_atom": 0.0000,
  "final_energy_ha_per_atom": -0.1540
}

# 2
{
  "formula": "RbNb3Ga",
  "functional": "PBE-GGA",
  "state": "relaxed",
  "cell": [[5.027, 0.000, 0.000], [0.000, 5.027, 0.000], [0.000, 0.000, 5.027]],
  "species": ["Ga", "Rb", "Nb", "Nb", "Nb"],
  "frac_coords": [[0.000, 0.000, 0.000], [0.500, 0.500, 0.500], [0.000, 0.000, 0.500], [0.000, 0.500, 0.000], [0.500, 0.000, 0.000]],
  "formation_enthalpy_0k_ev_per_atom": 1.567,
  "e_above_lowest_polymorph_ev_per_atom": 0.0000,
  "final_energy_ha_per_atom": -0.1938
}

# 3
{
  "formula": "Rb2Nb2Ga",
  "functional": "PBE-GGA",
  "state": "relaxed",
  "cell": [[-6.402, -6.106, 6.882], [8.519, -7.101, 1.625], [0.969, 1.718, 2.425]],
  "species": ["Nb", "Nb", "Rb", "Ga", "Rb", "Rb", "Rb", "Ga", "Nb", "Nb"],
  "frac_coords": [[0.570, 0.930, 0.500], [0.070, 0.570, 0.500], [0.714, 0.214, 0.000], [0.500, 0.500, 0.000], [0.286, 0.786, 0.000], [0.786, 0.714, 0.000], [0.214, 0.286, 0.000], [0.000, 0.000, 0.000], [0.930, 0.430, 0.500], [0.430, 0.070, 0.500]],
  "formation_enthalpy_0k_ev_per_atom": 1.303,
  "e_above_lowest_polymorph_ev_per_atom": 0.4744,
  "final_energy_ha_per_atom": -0.1366
}

# 4
{
  "formula": "RbNbGa2",
  "functional": "PBE-GGA",
  "state": "relaxed",
  "cell": [[-0.141, -2.100, -5.211], [5.071, -2.292, 0.787], [-1.390, -9.657, 0.899]],
  "species": ["Ga", "Rb", "Nb", "Nb", "Ga", "Rb", "Ga", "Ga"],
  "frac_coords": [[0.876, 0.625, 0.250], [0.250, 0.750, 0.500], [0.000, 0.000, 0.000], [0.750, 0.250, 0.500], [0.875, 0.124, 0.750], [0.500, 0.500, 0.000], [0.375, 0.126, 0.750], [0.874, 0.125, 0.250]],
  "formation_enthalpy_0k_ev_per_atom": 0.664,
  "e_above_lowest_polymorph_ev_per_atom": 0.0000,
  "final_energy_ha_per_atom": -0.1326
}